A plane-wave DFT calculation with PBE-GGA was carried out for an optimized crystal structure of SrGe4Pd12.

Cell: 7.4337 7.4337 7.4337 Å, 109.47 109.47 109.47°
Closest atoms and distances in Å follow each position.
Positions (direct):
Ge 0.5000 0.5000 0.5000  6 Pd 2.41
Ge 0.0000 0.0000 0.5000  6 Pd 2.41
Ge 0.0000 0.5000 0.0000  6 Pd 2.41
Ge 0.5000 0.0000 0.0000  6 Pd 2.41
Pd 0.8357 0.6544 0.4901  2 Ge 2.41, 1 Pd 2.65
Pd 0.1813 0.8357 0.3456  2 Ge 2.41, 1 Pd 2.65
Pd 0.8357 0.3456 0.1813  2 Ge 2.41, 1 Pd 2.65
Pd 0.5099 0.1643 0.3456  2 Ge 2.41, 1 Pd 2.65
Pd 0.3456 0.1813 0.8357  2 Ge 2.41, 1 Pd 2.65
Pd 0.1643 0.3456 0.5099  2 Ge 2.41, 1 Pd 2.65
Pd 0.3456 0.5099 0.1643  2 Ge 2.41, 1 Pd 2.65
Pd 0.4901 0.8357 0.6544  2 Ge 2.41, 1 Pd 2.65
Pd 0.8187 0.1643 0.6544  2 Ge 2.41, 1 Pd 2.65
Pd 0.6544 0.8187 0.1643  2 Ge 2.41, 1 Pd 2.65
Pd 0.1643 0.6544 0.8187  2 Ge 2.41, 1 Pd 2.65
Pd 0.6544 0.4901 0.8357  2 Ge 2.41, 1 Pd 2.65
Sr 0.0000 0.0000 0.0000  12 Pd 3.28

Results
spin magnetization: 0.0 μB/f.u.
E_tot: -0.188 Ha/atom
density of states at the Fermi level: 3.1 states/eV per cell
ρ: 8.69 Mg/m³
formation enthalpy at 0 K: -272 meV per atom

***

A plane-wave DFT calculation with PBE-GGA was carried out for an optimized crystal structure of HgRh2Pb.

Cell: 4.7314 4.7314 4.7314 Å, 60.00 60.00 60.00°
Closest atoms and distances in Å follow each position.
Positions (direct):
Pb 0.2500 0.2500 0.2500  4 Hg 2.90, 4 Rh 2.90
Hg 0.5000 0.5000 0.5000  4 Rh 2.90, 4 Pb 2.90
Rh 0.0000 0.0000 0.0000  4 Pb 2.90, 4 Rh 2.90
Rh 0.7500 0.7500 0.7500  4 Hg 2.90, 4 Rh 2.90

Results
spin magnetization: 0.0 μB/f.u.
E_tot: -0.159 Ha/atom
density of states at the Fermi level: 5.2 states/eV per cell
ρ: 13.60 Mg/m³
formation enthalpy at 0 K: 362 meV per atom